## w
# LaPr5Nd3 | Alexandria | PBE-GGA | optimized geometry
data_LaPr5Nd3
_chemical_formula_sum 'La2 Pr10 Nd6'
_space_group_name_H-M_alt 'P 1'
_space_group_IT_number 1
_cell_length_a 10.0796
_cell_length_b 10.0796
_cell_length_c 11.5853
_cell_angle_alpha 111.84
_cell_angle_beta 111.84
_cell_angle_gamma 38.43
loop_
_space_group_symop_operation_xyz
'x,y,z'
loop_
_atom_site_label
_atom_site_type_symbol
_atom_site_fract_x
_atom_site_fract_y
_atom_site_fract_z
La1 La 0.1329 0.8671 0.7500
La2 La 0.8671 0.1329 0.2500
Pr1 Pr 0.0114 0.6504 0.1326
Pr2 Pr 0.1341 0.5284 0.7888
Pr3 Pr 0.3496 0.9886 0.3674
Pr4 Pr 0.4051 0.5949 0.2500
Pr5 Pr 0.4716 0.8659 0.7112
Pr6 Pr 0.5284 0.1341 0.2888
Pr7 Pr 0.5949 0.4051 0.7500
Pr8 Pr 0.6504 0.0114 0.6326
Pr9 Pr 0.8659 0.4716 0.2112
Pr10 Pr 0.9886 0.3496 0.8674
Nd1 Nd 0.0000 0.0000 0.0000
Nd2 Nd 0.0000 0.0000 0.5000
Nd3 Nd 0.1419 0.5361 0.4851
Nd4 Nd 0.4639 0.8581 0.0149
Nd5 Nd 0.5361 0.1419 0.9851
Nd6 Nd 0.8581 0.4639 0.5149
# **Spin magnetization**: 0.0 μB/f.u.
# **Calculated density**: 6.3 g/cm3

=====

## x
# LaPr5Nd3 | Alexandria | PBE-GGA | optimized geometry
data_LaPr5Nd3
_chemical_formula_sum 'La2 Pr10 Nd6'
_space_group_name_H-M_alt 'P 1'
_space_group_IT_number 1
_cell_length_a 8.2417
_cell_length_b 8.2417
_cell_length_c 12.0520
_cell_angle_alpha 108.61
_cell_angle_beta 108.61
_cell_angle_gamma 89.69
loop_
_space_group_symop_operation_xyz
'x,y,z'
loop_
_atom_site_label
_atom_site_type_symbol
_atom_site_fract_x
_atom_site_fract_y
_atom_site_fract_z
La1 La 0.0876 0.0876 0.2941
La2 La 0.9124 0.9124 0.7059
Pr1 Pr 0.0351 0.5625 0.8580
Pr2 Pr 0.2580 0.7420 0.5000
Pr3 Pr 0.3076 0.3076 0.5954
Pr4 Pr 0.4375 0.9649 0.1420
Pr5 Pr 0.4696 0.4696 0.1179
Pr6 Pr 0.5304 0.5304 0.8821
Pr7 Pr 0.5625 0.0351 0.8580
Pr8 Pr 0.6924 0.6924 0.4046
Pr9 Pr 0.7420 0.2580 0.5000
Pr10 Pr 0.9649 0.4375 0.1420
Nd1 Nd 0.0000 0.0000 0.0000
Nd2 Nd 0.0000 0.0000 0.5000
Nd3 Nd 0.2089 0.2089 0.8470
Nd4 Nd 0.3777 0.3777 0.3423
Nd5 Nd 0.6222 0.6222 0.6577
Nd6 Nd 0.7911 0.7911 0.1530
# **Spin magnetization**: 0.0 μB/f.u.
# **Calculated density**: 5.8 g/cm3

=====

What are the relative energies? In meV/atom: w 0; x 267.

=====

## w
# La3Pr7Nd | Alexandria | PBE-GGA | optimized geometry
data_La3Pr7Nd
_chemical_formula_sum 'La3 Pr7 Nd1'
_space_group_name_H-M_alt 'P 1'
_space_group_IT_number 1
_cell_length_a 8.7560
_cell_length_b 8.7560
_cell_length_c 8.7560
_cell_angle_alpha 139.28
_cell_angle_beta 97.34
_cell_angle_gamma 96.57
loop_
_space_group_symop_operation_xyz
'x,y,z'
loop_
_atom_site_label
_atom_site_type_symbol
_atom_site_fract_x
_atom_site_fract_y
_atom_site_fract_z
La1 La 0.0000 0.0000 0.0000
La2 La 0.2102 0.5000 0.7102
La3 La 0.7898 0.5000 0.2898
Pr1 Pr 0.0006 0.7990 0.2017
Pr2 Pr 0.2078 0.7078 0.5000
Pr3 Pr 0.4027 0.2010 0.2017
Pr4 Pr 0.5000 0.5000 0.0000
Pr5 Pr 0.5973 0.7990 0.7983
Pr6 Pr 0.7922 0.2922 0.5000
Pr7 Pr 0.9994 0.2010 0.7983
Nd1 Nd 0.5000 0.0000 0.5000
# **Spin magnetization**: 0.0 μB/f.u.
# **Calculated density**: 6.3 g/cm3

=====

## x
# La3Pr7Nd | Alexandria | PBE-GGA | optimized geometry
data_La3Pr7Nd
_chemical_formula_sum 'La3 Pr7 Nd1'
_space_group_name_H-M_alt 'P 1'
_space_group_IT_number 1
_cell_length_a 7.9678
_cell_length_b 7.9678
_cell_length_c 6.5882
_cell_angle_alpha 93.98
_cell_angle_beta 93.98
_cell_angle_gamma 81.71
loop_
_space_group_symop_operation_xyz
'x,y,z'
loop_
_atom_site_label
_atom_site_type_symbol
_atom_site_fract_x
_atom_site_fract_y
_atom_site_fract_z
La1 La 0.0000 0.0000 0.0000
La2 La 0.1740 0.8260 0.5000
La3 La 0.8260 0.1740 0.5000
Pr1 Pr 0.0815 0.4286 0.2385
Pr2 Pr 0.2365 0.2365 0.7131
Pr3 Pr 0.4286 0.0815 0.2385
Pr4 Pr 0.5000 0.5000 0.5000
Pr5 Pr 0.5714 0.9185 0.7615
Pr6 Pr 0.7635 0.7635 0.2869
Pr7 Pr 0.9185 0.5714 0.7615
Nd1 Nd 0.5000 0.5000 0.0000
# **Spin magnetization**: 0.0 μB/f.u.
# **Calculated density**: 6.2 g/cm3

=====

What are the relative energies? In meV/atom: w 10; x 0.

=====

## w
# LaPrNd4 | Alexandria | PBE-GGA | optimized geometry
data_LaPrNd4
_chemical_formula_sum 'La2 Pr2 Nd8'
_space_group_name_H-M_alt 'P 1'
_space_group_IT_number 1
_cell_length_a 5.2502
_cell_length_b 15.6879
_cell_length_c 5.2310
_cell_angle_alpha 90.00
_cell_angle_beta 90.00
_cell_angle_gamma 90.00
loop_
_space_group_symop_operation_xyz
'x,y,z'
loop_
_atom_site_label
_atom_site_type_symbol
_atom_site_fract_x
_atom_site_fract_y
_atom_site_fract_z
La1 La 0.0000 0.0000 0.0000
La2 La 0.5000 0.5000 0.0000
Pr1 Pr 0.0000 0.5000 0.5000
Pr2 Pr 0.5000 0.0000 0.5000
Nd1 Nd 0.0000 0.1672 0.5000
Nd2 Nd 0.0000 0.3320 0.0000
Nd3 Nd 0.0000 0.6680 0.0000
Nd4 Nd 0.0000 0.8328 0.5000
Nd5 Nd 0.5000 0.1680 0.0000
Nd6 Nd 0.5000 0.3328 0.5000
Nd7 Nd 0.5000 0.6672 0.5000
Nd8 Nd 0.5000 0.8320 0.0000
# **Spin magnetization**: 0.0 μB/f.u.
# **Calculated density**: 6.6 g/cm3

=====

## x
# LaPrNd4 | Alexandria | PBE-GGA | optimized geometry
data_LaPrNd4
_chemical_formula_sum 'La1 Pr1 Nd4'
_space_group_name_H-M_alt 'P 1'
_space_group_IT_number 1
_cell_length_a 6.7694
_cell_length_b 6.7694
_cell_length_c 6.7694
_cell_angle_alpha 60.00
_cell_angle_beta 60.00
_cell_angle_gamma 60.00
loop_
_space_group_symop_operation_xyz
'x,y,z'
loop_
_atom_site_label
_atom_site_type_symbol
_atom_site_fract_x
_atom_site_fract_y
_atom_site_fract_z
La1 La 0.0000 0.0000 0.0000
Pr1 Pr 0.7500 0.7500 0.7500
Nd1 Nd 0.3752 0.3752 0.3752
Nd2 Nd 0.3752 0.3752 0.8743
Nd3 Nd 0.3752 0.8743 0.3752
Nd4 Nd 0.8743 0.3752 0.3752
# **Spin magnetization**: 0.0 μB/f.u.
# **Calculated density**: 6.5 g/cm3

=====

What are the relative energies? In meV/atom: w 0; x 216.

=====

## w
# La2Pr4Nd5 | Alexandria | PBE-GGA | optimized geometry
data_La2Pr4Nd5
_chemical_formula_sum 'La2 Pr4 Nd5'
_space_group_name_H-M_alt 'P 1'
_space_group_IT_number 1
_cell_length_a 12.9657
_cell_length_b 12.9657
_cell_length_c 12.9657
_cell_angle_alpha 164.05
_cell_angle_beta 136.94
_cell_angle_gamma 46.20
loop_
_space_group_symop_operation_xyz
'x,y,z'
loop_
_atom_site_label
_atom_site_type_symbol
_atom_site_fract_x
_atom_site_fract_y
_atom_site_fract_z
La1 La 0.2312 0.2312 0.0000
La2 La 0.7688 0.7688 0.0000
Pr1 Pr 0.0971 0.0971 0.0000
Pr2 Pr 0.1994 0.5000 0.6994
Pr3 Pr 0.8006 0.5000 0.3006
Pr4 Pr 0.9029 0.9029 0.0000
Nd1 Nd 0.1633 0.3561 0.8071
Nd2 Nd 0.4510 0.6439 0.8071
Nd3 Nd 0.5000 0.0000 0.5000
Nd4 Nd 0.5490 0.3561 0.1929
Nd5 Nd 0.8367 0.6439 0.1929
# **Spin magnetization**: 0.0 μB/f.u.
# **Calculated density**: 6.4 g/cm3

=====

## x
# La2Pr4Nd5 | Alexandria | PBE-GGA | optimized geometry
data_La2Pr4Nd5
_chemical_formula_sum 'La2 Pr4 Nd5'
_space_group_name_H-M_alt 'P 1'
_space_group_IT_number 1
_cell_length_a 12.5143
_cell_length_b 12.5143
_cell_length_c 9.0971
_cell_angle_alpha 96.55
_cell_angle_beta 96.55
_cell_angle_gamma 16.26
loop_
_space_group_symop_operation_xyz
'x,y,z'
loop_
_atom_site_label
_atom_site_type_symbol
_atom_site_fract_x
_atom_site_fract_y
_atom_site_fract_z
La1 La 0.0890 0.0890 0.2332
La2 La 0.9110 0.9110 0.7668
Pr1 Pr 0.0472 0.0472 0.8619
Pr2 Pr 0.3209 0.3209 0.0292
Pr3 Pr 0.6791 0.6791 0.9708
Pr4 Pr 0.9528 0.9528 0.1381
Nd1 Nd 0.1413 0.1413 0.6153
Nd2 Nd 0.2319 0.2319 0.3261
Nd3 Nd 0.5000 0.5000 0.5000
Nd4 Nd 0.7681 0.7681 0.6739
Nd5 Nd 0.8587 0.8587 0.3847
# **Spin magnetization**: 0.0 μB/f.u.
# **Calculated density**: 6.5 g/cm3

=====

What are the relative energies? In meV/atom: w 78; x 0.